A plane-wave DFT calculation with GGA-PBE was carried out for crystalline Cs4Ce3AlSe8 at its relaxed geometry.

Cell: 8.686 9.724 8.687 Å, 116.55 120.00 90.00°
Site moments in Bohr magnetons follow the coordinates.
Element x y z (fractional)
Ce 0.500 0.500 0.500  0.83
Se 0.253 0.323 0.038  -0.01
Cs 0.500 0.000 0.500  0.00
Se 0.215 0.678 0.431  -0.01
Se 0.785 0.322 0.569  -0.01
Al 0.000 0.500 0.000  0.03
Ce 0.000 0.500 0.500  0.83
Cs 0.000 0.000 0.500  0.00
Se 0.269 0.308 0.539  -0.02
Cs 0.000 0.000 0.000  0.00
Se 0.785 0.323 0.038  -0.01
Se 0.215 0.677 0.962  -0.01
Cs 0.500 0.000 0.000  0.00
Ce 0.500 0.500 0.000  0.83
Se 0.747 0.677 0.962  -0.01
Se 0.731 0.692 0.461  -0.02

Electronic total energy: -4.74 eV/atom
Energy relative to the elements, uncorrected: -1441.3 meV per atom
SG: R-3m (166)

A plane-wave DFT calculation with GGA-PBE was carried out for crystalline Cs3Ce3AlTe8 at its relaxed geometry.

Cell: 9.077 9.078 10.509 Å, 115.59 90.00 120.00°
Site moments in Bohr magnetons follow the coordinates.
Element x y z (fractional)
Ce 0.500 0.500 0.500  0.71
Cs 0.000 0.500 0.000  0.00
Ce 0.000 0.500 0.500  0.71
Al 0.000 0.000 0.500  0.01
Te 0.213 0.965 0.678  -0.02
Cs 0.000 0.000 0.000  0.00
Ce 0.500 0.000 0.500  0.71
Te 0.213 0.427 0.678  -0.02
Te 0.732 0.463 0.695  -0.02
Te 0.751 0.965 0.678  -0.02
Cs 0.500 0.500 0.000  0.00
Te 0.787 0.035 0.322  -0.02
Te 0.268 0.537 0.305  -0.02
Te 0.249 0.035 0.322  -0.02
Te 0.787 0.573 0.322  -0.02

Electronic total energy: -4.40 eV/atom
Energy relative to the elements, uncorrected: -1119.8 meV per atom
SG: R-3m (166)

A plane-wave DFT calculation with GGA-PBE was carried out for crystalline Ce2Al5Cu3 at its relaxed geometry.

Cell: 5.965 8.437 8.437 Å, 75.90 69.30 69.30°
Site moments in Bohr magnetons follow the coordinates.
Element x y z (fractional)
Cu 0.750 0.000 0.000  0.00
Cu 0.627 0.499 0.248  0.00
Cu 0.250 0.000 0.000  0.00
Cu 0.873 0.752 0.501  0.00
Ce 0.869 0.388 0.874  0.44
Al 0.003 0.247 0.247  0.00
Cu 0.373 0.501 0.752  0.00
Cu 0.127 0.248 0.499  0.00
Al 0.503 0.247 0.247  0.00
Al 0.111 0.033 0.746  0.00
Al 0.750 0.500 0.500  0.00
Al 0.250 0.500 0.500  0.00
Al 0.389 0.254 0.967  0.00
Al 0.997 0.753 0.753  0.00
Al 0.497 0.753 0.753  0.00
Ce 0.631 0.126 0.612  0.44
Al 0.611 0.746 0.033  0.00
Ce 0.131 0.612 0.126  0.44
Al 0.889 0.967 0.254  0.00
Ce 0.369 0.874 0.388  0.44

Electronic total energy: -4.68 eV/atom
ΔE_f: -0.394 eV/atom
SG: Ibam (72)

A plane-wave DFT calculation with GGA-PBE was carried out for crystalline Ce2AlCu6 at its relaxed geometry.

Cell: 5.840 5.454 5.455 Å, 120.00 90.00 90.00°
Site moments in Bohr magnetons follow the coordinates.
Element x y z (fractional)
Cu 0.660 0.176 0.824  0.00
Cu 0.660 0.647 0.824  0.00
Cu 0.340 0.824 0.176  0.00
Cu 0.340 0.353 0.176  0.00
Ce 0.153 0.333 0.667  0.37
Cu 0.340 0.824 0.647  0.00
Ce 0.847 0.667 0.333  0.37
Cu 0.660 0.176 0.353  0.00
Al 0.000 0.000 0.000  -0.01

Electronic total energy: -4.62 eV/atom
ΔE_f: -0.151 eV/atom
SG: P-3m1 (164)

A plane-wave DFT calculation with GGA-PBE was carried out for crystalline CeAlCu at its relaxed geometry.

Cell: 4.540 4.540 4.540 Å, 60.00 60.00 60.00°
Site moments in Bohr magnetons follow the coordinates.
Element x y z (fractional)
Ce 0.000 0.000 0.000  0.10
Al 0.500 0.500 0.500  0.00
Cu 0.250 0.250 0.250  0.00

Electronic total energy: -4.80 eV/atom
ΔE_f: -0.206 eV/atom
SG: F-43m (216)

A plane-wave DFT calculation with GGA-PBE was carried out for crystalline CeAl2Cu at its relaxed geometry.

Cell: 2.985 2.985 7.922 Å, 90.00 90.00 90.00°
Element x y z (fractional)
Al 0.000 0.000 0.805
Cu 0.500 0.500 0.000
Al 0.000 0.000 0.195
Ce 0.500 0.500 0.500

Electronic total energy: -4.64 eV/atom
ΔE_f: -0.260 eV/atom
SG: P4/mmm (123)

A plane-wave DFT calculation with GGA-PBE was carried out for crystalline CeAl10Cu2 at its relaxed geometry.

Cell: 5.206 7.237 6.716 Å, 81.99 67.20 68.92°
Site moments in Bohr magnetons follow the coordinates.
Element x y z (fractional)
Cu 0.000 0.500 0.000  0.00
Al 0.007 0.641 0.344  0.00
Al 0.275 0.234 0.216  0.00
Al 0.725 0.766 0.784  0.00
Al 0.993 0.359 0.656  0.00
Al 0.509 0.766 0.216  0.00
Cu 0.500 0.500 0.000  0.00
Al 0.649 0.359 0.344  0.00
Ce 0.000 0.000 0.000  0.21
Al 0.000 0.000 0.500  0.00
Al 0.491 0.234 0.784  0.00
Al 0.500 0.000 0.500  0.00
Al 0.351 0.641 0.656  0.00

Electronic total energy: -4.17 eV/atom
ΔE_f: -0.201 eV/atom
SG: Fmmm (69)

A plane-wave DFT calculation with GGA-PBE was carried out for crystalline Ce2Al5Cu4 at its relaxed geometry.

Cell: 5.439 5.389 8.296 Å, 80.48 70.87 59.69°
Site moments in Bohr magnetons follow the coordinates.
Element x y z (fractional)
Cu 0.479 0.305 0.737  0.01
Cu 0.784 0.695 0.737  0.01
Al 0.750 0.500 0.500  0.01
Al 0.500 0.500 0.000  0.00
Al 0.000 0.500 0.000  0.00
Ce 0.127 0.000 0.745  0.64
Cu 0.216 0.305 0.263  0.01
Cu 0.521 0.695 0.263  0.01
Al 0.500 0.000 0.000  -0.01
Al 0.250 0.500 0.500  0.01
Ce 0.873 0.000 0.255  0.64

Electronic total energy: -4.58 eV/atom
ΔE_f: -0.307 eV/atom
SG: Fmmm (69)

A plane-wave DFT calculation with GGA-PBE was carried out for crystalline CeAlCu at its relaxed geometry.

Cell: 4.239 6.969 6.969 Å, 120.00 90.00 90.00°
Site moments in Bohr magnetons follow the coordinates.
Element x y z (fractional)
Cu 0.500 0.000 0.000  0.02
Ce 0.500 0.424 0.424  0.55
Cu 0.000 0.333 0.667  0.01
Ce 0.500 0.576 0.000  0.51
Ce 0.500 0.000 0.576  0.51
Al 0.000 0.233 0.000  0.00
Al 0.000 0.767 0.767  0.00
Al 0.000 0.000 0.233  0.00
Cu 0.000 0.667 0.333  0.01

Electronic total energy: -4.92 eV/atom
ΔE_f: -0.327 eV/atom
SG: P-62m (189)

A plane-wave DFT calculation with GGA-PBE was carried out for crystalline CeAl4Cu8 at its relaxed geometry.

Cell: 5.075 6.609 6.609 Å, 81.52 67.42 67.42°
Site moments in Bohr magnetons follow the coordinates.
Element x y z (fractional)
Cu 0.000 0.351 0.649  0.01
Cu 0.000 0.649 0.351  0.01
Al 0.000 0.000 0.500  0.00
Cu 0.351 0.649 0.649  0.01
Al 0.500 0.000 0.500  0.00
Cu 0.649 0.351 0.351  0.01
Al 0.500 0.500 0.000  0.00
Cu 0.280 0.220 0.220  0.00
Cu 0.500 0.780 0.220  0.00
Cu 0.500 0.220 0.780  0.00
Ce 0.000 0.000 0.000  0.49
Al 0.000 0.500 0.000  0.00
Cu 0.720 0.780 0.780  0.00

Electronic total energy: -4.33 eV/atom
ΔE_f: -0.206 eV/atom
SG: I4/mmm (139)

A plane-wave DFT calculation with GGA-PBE was carried out for crystalline CeAl7Cu5 at its relaxed geometry.

Cell: 5.097 6.731 6.731 Å, 82.31 67.75 67.75°
Site moments in Bohr magnetons follow the coordinates.
Element x y z (fractional)
Al 0.274 0.226 0.226  0.00
Al 0.506 0.205 0.783  0.00
Al 0.992 0.659 0.356  0.00
Al 0.992 0.356 0.659  0.00
Al 0.650 0.350 0.350  0.00
Cu 0.003 0.001 0.496  0.01
Cu 0.500 0.496 0.001  0.01
Cu 0.728 0.772 0.772  0.01
Cu 0.500 0.001 0.496  0.01
Al 0.346 0.654 0.654  0.00
Cu 0.003 0.496 0.001  0.01
Al 0.506 0.783 0.205  0.00
Ce 0.000 0.000 0.000  0.54

Electronic total energy: -4.38 eV/atom
ΔE_f: -0.328 eV/atom
SG: Imm2 (44)

A plane-wave DFT calculation with GGA-PBE was carried out for crystalline CeAl4Cu2 at its relaxed geometry.

Cell: 3.996 7.791 7.791 Å, 90.00 90.00 90.00°
Site moments in Bohr magnetons follow the coordinates.
Element x y z (fractional)
Cu 0.500 0.291 0.291  0.01
Al 0.500 0.834 0.414  0.00
Ce 0.000 0.500 0.500  0.61
Al 0.000 0.086 0.334  0.00
Al 0.500 0.586 0.166  0.00
Al 0.500 0.166 0.586  0.00
Cu 0.500 0.709 0.709  0.01
Al 0.000 0.334 0.086  0.00
Cu 0.000 0.209 0.791  0.01
Al 0.000 0.914 0.666  0.00
Al 0.500 0.414 0.834  0.00
Cu 0.000 0.791 0.209  0.01
Al 0.000 0.666 0.914  0.00
Ce 0.500 0.000 0.000  0.61

Offset from the most stable computed form: 68 meV per atom
Electronic total energy: -4.45 eV/atom
ΔE_f: -0.293 eV/atom
SG: P4_2/mnm (136)

Total moment values (in μB per formula unit) by entry order: 2.62, 1.96, 0.88, 0.85, 0.09, 0.00, 0.28, 1.61, 0.67, 0.64, 0.71, 0.77.